# Ta6NbAl GGA-PBE relaxed
data_Ta6NbAl
_space_group_name_H-M_alt 'C m m m'
_space_group_IT_number 65
_space_group_name_Hall '-C 2 2'
_cell_length_a 6.613
_cell_length_b 9.321
_cell_length_c 4.653
_cell_angle_alpha 90.00
_cell_angle_beta 90.00
_cell_angle_gamma 90.00
loop_
_atom_site_label
_atom_site_type_symbol
_atom_site_fract_x
_atom_site_fract_y
_atom_site_fract_z
_atom_site_occupancy
Ta1 Ta 0.000 0.240 0.000 1
Ta2 Ta 0.233 0.500 0.000 1
Ta3 Ta 0.250 0.250 0.500 1
Nb1 Nb 0.000 0.500 0.500 1
Al1 Al 0.000 0.000 0.500 1
# E (eV per atom): -10.671
# Energy relative to the lowest polymorph listed for this composition (meV per atom): 3
# Energy relative to the elements (eV per formula unit): -0.44
# Density of states at the Fermi level (states/eV/atom): 1.03